Pr3Ga4Au2: optimized geometry, PBE-GGA.

abc: 11.108 4.599 8.706
angles: 90.00 110.87 90.00
Space group C2/m (No. 12)
Unique sites:
Pr1 0.000 0.000 0.000 [2 per cell]
Pr2 0.173 0.500 0.656 [4 per cell]
Ga1 0.027 0.000 0.365 [4 per cell]
Ga2 0.241 0.500 0.076 [4 per cell]
Au1 0.102 0.500 0.272 [4 per cell]

Values from the calculation:
D(E_F) = 0.486 states/eV per atom
calculated formation energy = -0.732 eV per atom